1.
The following is a PBE calculation of crystalline PrHoHfSc at its relaxed geometry, from Alexandria via LeMat-Bulk.

Results
Space-group type: F-43m, No. 216
Energy of formation (meV/atom): 263

Unit cell a=7.6185 b=7.6185 c=7.6185 alpha=90.00 beta=90.00 gamma=90.00
Element x y z (fractional)
Pr 0.0000 0.0000 0.0000
Pr 0.0000 0.5000 0.5000
Pr 0.5000 0.0000 0.5000
Pr 0.5000 0.5000 0.0000
Ho 0.2500 0.2500 0.2500
Ho 0.2500 0.7500 0.7500
Ho 0.7500 0.2500 0.7500
Ho 0.7500 0.7500 0.2500
Hf 0.0000 0.0000 0.5000
Hf 0.0000 0.5000 0.0000
Hf 0.5000 0.0000 0.0000
Hf 0.5000 0.5000 0.5000
Sc 0.2500 0.2500 0.7500
Sc 0.2500 0.7500 0.2500
Sc 0.7500 0.2500 0.2500
Sc 0.7500 0.7500 0.7500

=====

2.
The following is a PBE calculation of crystalline ScIrOs2 at its relaxed geometry, from Alexandria via LeMat-Bulk.

Results
Space-group type: I4/mmm, No. 139
Energy of formation (meV/atom): -98
Distance to the lowest polymorph of the same formula (meV per atom): 79

Unit cell a=3.8903 b=3.8903 c=8.1486 alpha=90.00 beta=90.00 gamma=90.00
Element x y z (fractional)
Sc 0.0000 0.0000 0.0000
Sc 0.5000 0.5000 0.5000
Ir 0.0000 0.0000 0.5000
Ir 0.5000 0.5000 0.0000
Os 0.0000 0.5000 0.2500
Os 0.0000 0.5000 0.7500
Os 0.5000 0.0000 0.2500
Os 0.5000 0.0000 0.7500

=====

3.
The following is a PBE calculation of crystalline RbCd2Te2 at its relaxed geometry, from Alexandria via LeMat-Bulk.

Results
ΔE_f (raw) (eV per atom): -0.355
Space-group type: P4/mbm, No. 127
Distance to the lowest polymorph of the same formula (meV per atom): 121

Unit cell a=8.6864 b=8.6864 c=4.0622 alpha=90.00 beta=90.00 gamma=90.00
Element x y z (fractional)
Rb 0.0000 0.0000 0.0000
Rb 0.5000 0.5000 0.0000
Cd 0.1203 0.3797 0.0000
Cd 0.3797 0.8797 0.0000
Cd 0.6203 0.1203 0.0000
Cd 0.8797 0.6203 0.0000
Te 0.1849 0.6849 0.5000
Te 0.3151 0.1849 0.5000
Te 0.6849 0.8151 0.5000
Te 0.8151 0.3151 0.5000

=====

4.
The following is a PBE calculation of crystalline Zr2As2Au at its relaxed geometry, from Alexandria via LeMat-Bulk.

Results
Space-group type: P4/mbm, No. 127
Energy of formation (meV/atom): -720
Distance to the lowest polymorph of the same formula (meV per atom): 6

Unit cell a=7.5457 b=7.5457 c=3.5717 alpha=90.00 beta=90.00 gamma=90.00
Element x y z (fractional)
Zr 0.1489 0.3511 0.0000
Zr 0.3511 0.8511 0.0000
Zr 0.6489 0.1489 0.0000
Zr 0.8511 0.6489 0.0000
As 0.1474 0.6474 0.5000
As 0.3526 0.1474 0.5000
As 0.6474 0.8526 0.5000
As 0.8526 0.3526 0.5000
Au 0.0000 0.0000 0.0000
Au 0.5000 0.5000 0.0000

=====

5.
The following is a PBE calculation of crystalline ZrMnSbI2 at its relaxed geometry, from Alexandria via LeMat-Bulk.

Results
ΔE_f (raw) (eV per atom): 0.328
Space-group type: P4/mmm, No. 123
Distance to the lowest polymorph of the same formula (meV per atom): 0

Unit cell a=5.6726 b=5.6726 c=5.7579 alpha=90.00 beta=90.00 gamma=90.00
Element x y z (fractional)
Zr 0.0000 0.0000 0.0000
Mn 0.5000 0.5000 0.5000
Sb 0.0000 0.0000 0.5000
I 0.0000 0.5000 0.0000
I 0.5000 0.0000 0.0000

=====

6.
The following is a PBE calculation of crystalline Zr2AgSb at its relaxed geometry, from Alexandria via LeMat-Bulk.

Results
ΔE_f (raw) (eV per atom): -0.317
Space-group type: C2/m, No. 12

Unit cell a=6.2480 b=8.2496 c=3.2899 alpha=90.00 beta=90.18 gamma=90.00
Element x y z (fractional)
Zr 0.2500 0.2500 0.0000
Zr 0.2500 0.7500 0.0000
Zr 0.7500 0.2500 0.0000
Zr 0.7500 0.7500 0.0000
Ag 0.0000 0.0000 0.5000
Ag 0.5000 0.5000 0.5000
Sb 0.0000 0.5000 0.5000
Sb 0.5000 0.0000 0.5000

=====

7.
The following is a PBE calculation of crystalline VCuAs at its relaxed geometry, from Alexandria via LeMat-Bulk.

Results
Space-group type: P4/nmm, No. 129
Energy of formation (meV/atom): -231

Unit cell a=3.7447 b=3.7447 c=6.2223 alpha=90.00 beta=90.00 gamma=90.00
Element x y z (fractional)
V 0.2500 0.7500 0.0000
V 0.7500 0.2500 0.0000
Cu 0.2500 0.2500 0.3155
Cu 0.7500 0.7500 0.6845
As 0.2500 0.2500 0.7139
As 0.7500 0.7500 0.2861

=====

8.
The following is a PBE calculation of crystalline La2ZnTe at its relaxed geometry, from Alexandria via LeMat-Bulk.

Results
ΔE_f (raw) (eV per atom): -0.757
Space-group type: R3m, No. 160
Distance to the lowest polymorph of the same formula (meV per atom): 124

Unit cell a=4.2651 b=4.2651 c=24.9024 alpha=90.00 beta=90.00 gamma=120.00
Element x y z (fractional)
La 0.0000 0.0000 0.0000
La 0.0000 0.0000 0.1682
La 0.3333 0.6667 0.6667
La 0.3333 0.6667 0.8348
La 0.6667 0.3333 0.3333
La 0.6667 0.3333 0.5015
Zn 0.0000 0.0000 0.7515
Zn 0.3333 0.6667 0.4181
Zn 0.6667 0.3333 0.0848
Te 0.0000 0.0000 0.5831
Te 0.3333 0.6667 0.2498
Te 0.6667 0.3333 0.9164

=====

9.
The following is a PBE calculation of crystalline NaLiTeF6 at its relaxed geometry, from Alexandria via LeMat-Bulk.

Results
ΔE_f (raw) (eV per atom): -2.458
Space-group type: P4_2nm, No. 102

Unit cell a=5.0528 b=5.0528 c=10.0137 alpha=90.00 beta=90.00 gamma=90.00
Element x y z (fractional)
Na 0.0000 0.0000 0.0000
Na 0.5000 0.5000 0.5000
Li 0.0000 0.0000 0.3269
Li 0.5000 0.5000 0.8269
Te 0.0000 0.0000 0.6639
Te 0.5000 0.5000 0.1639
F 0.1832 0.1832 0.4995
F 0.2033 0.2033 0.8149
F 0.2062 0.2062 0.1758
F 0.2938 0.7062 0.6758
F 0.2967 0.7033 0.3149
F 0.3168 0.6832 0.9995
F 0.6832 0.3168 0.9995
F 0.7033 0.2967 0.3149
F 0.7062 0.2938 0.6758
F 0.7938 0.7938 0.1758
F 0.7967 0.7967 0.8149
F 0.8168 0.8168 0.4995

=====

10.
The following is a PBE calculation of crystalline SrTh2CrN4 at its relaxed geometry, from Alexandria via LeMat-Bulk.

Results
ΔE_f (raw) (eV per atom): -1.113
Space-group type: Cmcm, No. 63

Unit cell a=6.3536 b=6.3536 c=12.2509 alpha=90.00 beta=90.00 gamma=146.85
Element x y z (fractional)
Sr 0.0918 0.9082 0.7500
Sr 0.9082 0.0918 0.2500
Th 0.3676 0.6324 0.5491
Th 0.3676 0.6324 0.9509
Th 0.6324 0.3676 0.0491
Th 0.6324 0.3676 0.4509
Cr 0.1771 0.8229 0.2500
Cr 0.8229 0.1771 0.7500
N 0.0000 0.0000 0.0000
N 0.0000 0.0000 0.5000
N 0.2585 0.7415 0.1195
N 0.2585 0.7415 0.3805
N 0.4016 0.5984 0.7500
N 0.5984 0.4016 0.2500
N 0.7415 0.2585 0.6195
N 0.7415 0.2585 0.8805

=====

11.
The following is a PBE calculation of crystalline KNi2AuS at its relaxed geometry, from Alexandria via LeMat-Bulk.

Results
ΔE_f (raw) (eV per atom): 1.804
Space-group type: P4/mmm, No. 123

Unit cell a=4.4635 b=4.4635 c=5.3109 alpha=90.00 beta=90.00 gamma=90.00
Element x y z (fractional)
K 0.0000 0.0000 0.0000
Ni 0.0000 0.5000 0.0000
Ni 0.5000 0.0000 0.0000
Au 0.5000 0.5000 0.5000
S 0.0000 0.0000 0.5000

=====

12.
The following is a PBE calculation of crystalline Na5Ca at its relaxed geometry, from Alexandria via LeMat-Bulk.

Results
Space-group type: P6/mmm, No. 191
Energy of formation (meV/atom): 60
Distance to the lowest polymorph of the same formula (meV per atom): 15

Unit cell a=5.9763 b=5.9763 c=7.3840 alpha=90.00 beta=90.00 gamma=120.00
Element x y z (fractional)
Na 0.0000 0.0000 0.0000
Na 0.3333 0.6667 0.2491
Na 0.3333 0.6667 0.7509
Na 0.6667 0.3333 0.2491
Na 0.6667 0.3333 0.7509
Ca 0.0000 0.0000 0.5000